# 1
AcLa6Pm8: relaxed, PBE.

## Properties
DOS at the Fermi energy	1.436	states/eV/atom
energy of formation	231	kJ/mol of formula units
space-group type	No. 148
relative energy among the computed polymorphs	0.32	eV per formula unit

```
AcLa6Pm8
1.0
-4.236 -5.725 4.781
-2.247 -6.582 -5.021
5.261 -6.573 1.642
Ac Pm La
1 8 6
Cartesian
0.000 0.000 0.000
-0.123 -8.527 -3.392
2.982 -11.035 -0.839
-0.277 -4.278 0.318
-1.099 -10.353 4.794
-4.204 -7.845 2.240
-0.945 -14.602 1.084
2.734 -8.239 2.979
-3.956 -10.641 -1.578
1.610 -7.842 -0.323
1.104 -11.257 2.214
-0.455 -11.426 -1.435
-2.832 -11.038 1.724
-2.326 -7.623 -0.813
-0.767 -7.454 2.837
```

# 2
Ca2AcAg: relaxed, PBE.

## Properties
DOS at the Fermi energy	0.618	states/eV/atom
energy of formation	-2	kJ/mol of formula units
space-group type	No. 123
relative energy among the computed polymorphs	0.56	eV per formula unit

```
Ca2AcAg
1.0
-5.141 -2.036 -1.749
1.508 0.161 -4.621
1.671 -4.551 0.387
Ag Ac Ca
1 1 2
Cartesian
-2.570 -1.018 -0.874
-0.981 -3.213 -2.991
0.754 0.080 -2.310
0.835 -2.275 0.193
```

# 3
CrSb: relaxed, PBE.

## Properties
DOS at the Fermi energy	0.296	states/eV/atom
calculated total energy	-50.3	eV per cell
space-group type	No. 216

```
CrSb
1.0
6.131 0.000 0.000
0.000 6.131 0.000
0.000 0.000 6.131
Sb Cr
4 4
Cartesian
3.065 0.000 3.065
0.000 3.065 3.065
0.000 0.000 0.000
3.065 3.065 0.000
1.533 4.598 4.598
4.598 4.598 1.533
4.598 1.533 4.598
1.533 1.533 1.533
```